DFT (PBE) results for an optimized crystal structure of InTeHI2.

VASP energy in eV for the cell shown: -9.953
Energy relative to the lowest polymorph listed for this composition in eV/atom: 0.3150

```
InTeHI2
1.0
-4.617 1.522 -3.569
-3.167 -4.683 2.099
-2.169 3.369 4.243
I H Te In
2 1 1 1
Direct
0.000 0.500 0.000
0.500 0.000 0.000
0.500 0.500 0.500
0.000 0.000 0.500
0.000 0.000 0.000
```

***

DFT (PBE) results for an optimized crystal structure of CaPr4Nd3Se8.

VASP energy in eV for the cell shown: -92.944
ΔE_f (raw) in eV per atom: -1.853

```
CaPr4Nd3Se8
1.0
-5.195 -6.707 0.129
1.130 -1.036 -8.358
6.713 0.266 5.181
Ca Pr Nd Se
1 4 3 8
Direct
0.000 0.500 0.000
0.500 0.000 0.000
0.500 0.000 0.500
0.000 0.000 0.000
0.000 0.000 0.500
0.500 0.500 0.000
0.500 0.500 0.500
0.000 0.500 0.500
0.246 0.744 0.998
0.246 0.744 0.491
0.251 0.253 0.502
0.752 0.744 0.998
0.248 0.256 0.002
0.749 0.747 0.498
0.754 0.256 0.509
0.754 0.256 0.002
```

***

DFT (PBE) results for an optimized crystal structure of Pm2PuBr8.

VASP energy in eV for the cell shown: -54.987
ΔE_f (raw) in eV per atom: -1.616

```
Pm2PuBr8
1.0
-1.026 2.056 -6.988
-5.640 -8.526 -0.418
-9.685 -2.704 1.889
Pm Pu Br
2 1 8
Direct
0.473 0.150 0.150
0.527 0.850 0.850
0.000 0.000 0.000
0.721 0.193 0.676
0.279 0.324 0.807
0.847 0.139 0.139
0.153 0.861 0.861
0.721 0.676 0.193
0.279 0.807 0.324
0.387 0.286 0.286
0.613 0.714 0.714
```

***

Question: Number 1 is which compound?
Answer: InTeHI2